(1)
Here is AgPtN2F after structural relaxation from the Alexandria database. Energies are from PBE-GGA.

Summary:
**Crystal system**: tetragonal
**Raw formation energy**: 1837 meV per atom

Lattice parameters (Å, degrees): 4.1125 4.1125 3.9620 90.00 90.00 90.00
Last column: nearest neighbours and their distance in Å.
Space group P4/mmm (No. 123)
Unique sites:
Ag 0.0000 0.0000 0.0000 (multiplicity 1)  2 F 1.98, 4 N 2.06
Pt 0.5000 0.5000 0.5000 (multiplicity 1)  8 N 2.86, 4 F 2.91
N 0.0000 0.5000 0.0000 (multiplicity 2)  2 Ag 2.06
F 0.0000 0.0000 0.5000 (multiplicity 1)  2 Ag 1.98

(2)
Here is K2RbHg7Au2 after structural relaxation from the Alexandria database. Energies are from PBE-GGA.

Summary:
**Crystal system**: monoclinic
**Formation enthalpy at 0 K**: -0.174 eV per atom

Lattice parameters (Å, degrees): 7.6577 7.8228 13.4899 90.00 95.53 90.00
Last column: nearest neighbours and their distance in Å.
Space group C2/m (No. 12)
Unique sites:
K 0.0870 0.0000 0.3587 (multiplicity 4)  6 Hg 3.51-3.66, 1 Au 3.52
Rb 0.0000 0.0000 0.0000 (multiplicity 2)  12 Hg 3.76-3.93, 2 Au 3.86
Hg 0.0000 0.5000 0.0000 (multiplicity 2)  2 Au 3.01, 4 Hg 3.28
Hg 0.1315 0.5000 0.4200 (multiplicity 4)  1 Au 2.94, 1 Hg 3.09
Hg 0.1369 0.3055 0.8067 (multiplicity 8)  2 Au 2.76-2.89, 1 Hg 3.04
Au 0.1859 0.5000 0.2069 (multiplicity 4)  6 Hg 2.76-3.01

| no. | size of the total moment (μB/f.u.) | total DFT energy (no corrections) (eV/cell) | calculated density (g/cm³) |
| --- | --- | --- | --- |
| 1 | 0.37 | -18.230 | 8.7 |
| 2 | 0.00 | -27.828 | 8.1 |